No. 1
# TbAl11, optimized geometry, DFT GGA-PBE
# Magnetic moment   0.00 μB/cell
# Formation energy   -0.05 eV/atom
# E_tot   -3.8702 eV/atom
data_TbAl11
_chemical_formula_sum 'Tb2 Al22'
_cell_length_a 7.2174
_cell_length_b 8.5626
_cell_length_c 8.5626
_cell_angle_alpha 79.77
_cell_angle_beta 65.07
_cell_angle_gamma 65.07
_space_group_name_H-M_alt 'P 1'
_space_group_IT_number 1
_space_group_name_Hall 'P 1'
loop_
_atom_site_label
_atom_site_type_symbol
_atom_site_fract_x
_atom_site_fract_y
_atom_site_fract_z
Al1 Al 0.8750 0.2500 0.7500
Al2 Al 0.0092 0.6726 0.9152
Al3 Al 0.0000 0.0000 0.0000
Al4 Al 0.7408 0.5848 0.8274
Al5 Al 0.6744 0.5848 0.1726
Al6 Al 0.4318 0.4152 0.8274
Al7 Al 0.3182 0.0848 0.6726
Al8 Al 0.1530 0.1726 0.4152
Al9 Al 0.7500 0.5000 0.5000
Al10 Al 0.7408 0.8274 0.5848
Al11 Al 0.5970 0.3274 0.0848
Al12 Al 0.4318 0.8274 0.4152
Al13 Al 0.0756 0.9152 0.3274
Al14 Al 0.0756 0.3274 0.9152
Al15 Al 0.3750 0.7500 0.7500
Al16 Al 0.0092 0.9152 0.6726
Al17 Al 0.6744 0.1726 0.5848
Al18 Al 0.8750 0.2500 0.2500
Al19 Al 0.5970 0.0848 0.3274
Al20 Al 0.3182 0.6726 0.0848
Al21 Al 0.8750 0.7500 0.2500
Al22 Al 0.1530 0.4152 0.1726
Tb1 Tb 0.2500 0.5000 0.5000
Tb2 Tb 0.5000 0.0000 0.0000


No. 2
# Y2TlGe, optimized geometry, DFT GGA-PBE
# Magnetic moment   0.00 μB/cell
# Formation energy   -0.32 eV/atom
# E_tot   -5.2951 eV/atom
data_Y2TlGe
_chemical_formula_sum 'Y4 Tl2 Ge2'
_cell_length_a 8.0426
_cell_length_b 8.0426
_cell_length_c 6.6567
_cell_angle_alpha 52.84
_cell_angle_beta 52.84
_cell_angle_gamma 90.00
_space_group_name_H-M_alt 'P 1'
_space_group_IT_number 1
_space_group_name_Hall 'P 1'
loop_
_atom_site_label
_atom_site_type_symbol
_atom_site_fract_x
_atom_site_fract_y
_atom_site_fract_z
Y1 Y 0.3750 0.4014 0.7500
Y2 Y 0.1514 0.6250 0.2500
Y3 Y 0.8750 0.8486 0.7500
Y4 Y 0.5986 0.1250 0.2500
Tl1 Tl 0.0000 0.0000 0.0000
Tl2 Tl 0.7500 0.2500 0.5000
Ge1 Ge 0.5000 0.5000 0.0000
Ge2 Ge 0.2500 0.7500 0.5000


No. 3
# NdPuHg3, optimized geometry, DFT GGA-PBE
# Magnetic moment   12.28 μB/cell
# Formation energy   -0.10 eV/atom
# E_tot   -4.1010 eV/atom
data_NdPuHg3
_chemical_formula_sum 'Nd2 Pu2 Hg6'
_cell_length_a 5.7626
_cell_length_b 7.6090
_cell_length_c 7.6090
_cell_angle_alpha 119.95
_cell_angle_beta 90.00
_cell_angle_gamma 90.00
_space_group_name_H-M_alt 'P 1'
_space_group_IT_number 1
_space_group_name_Hall 'P 1'
loop_
_atom_site_label
_atom_site_type_symbol
_atom_site_fract_x
_atom_site_fract_y
_atom_site_fract_z
Hg1 Hg 0.2500 0.7957 0.2043
Hg2 Hg 0.7500 0.2044 0.4084
Hg3 Hg 0.7500 0.5916 0.7956
Hg4 Hg 0.7500 0.2043 0.7957
Hg5 Hg 0.2500 0.7956 0.5916
Hg6 Hg 0.2500 0.4084 0.2044
Pu1 Pu 0.5000 0.0000 0.0000
Pu2 Pu 0.0000 0.0000 0.0000
Nd1 Nd 0.7500 0.6665 0.3335
Nd2 Nd 0.2500 0.3335 0.6665


No. 4
# ZrMn2Re, optimized geometry, DFT GGA-PBE
# Magnetic moment   2.54 μB/cell
# Energy above the most stable polymorph in this dataset   49.6 meV/atom
# Formation energy   0.09 eV/atom
# E_tot   -9.7443 eV/atom
data_ZrMn2Re
_chemical_formula_sum 'Zr1 Mn2 Re1'
_cell_length_a 5.2014
_cell_length_b 5.2014
_cell_length_c 5.2014
_cell_angle_alpha 145.64
_cell_angle_beta 130.12
_cell_angle_gamma 61.98
_space_group_name_H-M_alt 'P 1'
_space_group_IT_number 1
_space_group_name_Hall 'P 1'
loop_
_atom_site_label
_atom_site_type_symbol
_atom_site_fract_x
_atom_site_fract_y
_atom_site_fract_z
Re1 Re 0.5200 0.5200 0.0000
Mn1 Mn 0.9843 0.9843 0.0000
Mn2 Mn 0.7431 0.2431 0.5000
Zr1 Zr 0.2526 0.7526 0.5000